Record 1
VASP calculation (GGA-PBE) on a relaxed SrCoB2 crystal.

Properties
For the energy above the lowest structure with this stoichiometry, the calculation gives 4.727 eV per formula unit. The mass density comes out at 5.2 g/cm³. Its calculated formation energy is 1.202 eV per atom.

Cell: 5.9967 5.9967 5.9967 Å, 90.00 90.00 90.00°
Space group Fm-3m (No. 225)
Unique sites:
Sr: 0.0000 0.0000 0.0000 [4 per cell]
Co: 0.0000 0.0000 0.5000 [4 per cell]
B: 0.2500 0.2500 0.2500 [8 per cell]



Record 2
VASP calculation (GGA-PBE) on a relaxed SrCo12B6 crystal.

Properties
The mass density comes out at 7.4 g/cm³. Its calculated formation energy is -0.274 eV per atom.

Cell: 9.4523 9.4523 7.4738 Å, 90.00 90.00 120.00°
Space group R-3m (No. 166, hexagonal axes)
Unique sites:
Sr: 0.0000 0.0000 0.0000 [3 per cell]
Co: 0.0000 0.3666 0.5000 [18 per cell]
Co: 0.0913 0.1827 0.3705 [18 per cell]
B: 0.0404 0.5202 0.2891 [18 per cell]



Record 3
VASP calculation (GGA-PBE) on a relaxed SrCo2B crystal.

Properties
The mass density comes out at 5.1 g/cm³. Its calculated formation energy is 0.263 eV per atom.

Cell: 4.6039 4.6039 13.1636 Å, 90.00 90.00 90.00°
Space group I4_1/amd (No. 141, origin choice 2)
Unique sites:
Sr: 0.0000 0.2500 0.3750 [4 per cell]
Co: 0.0000 0.0000 0.0000 [8 per cell]
B: 0.0000 0.2500 0.8750 [4 per cell]



Number 1: uncorrected energy -4.33 eV/atom. Number 2: uncorrected energy -6.96 eV/atom. Number 3: uncorrected energy -5.38 eV/atom.